Entry 1:
Here is crystalline MnZnN2 at its relaxed geometry from Alexandria via LeMat-Bulk. Energies are from PBEsol.

Space group   I-42d, No. 122
E_form (uncorrected)   -0.69 eV per formula unit
Crystal system   tetragonal
DOS at the Fermi energy   5.144 states/eV/cell

Cell lengths 5.362, 5.362, 5.362 Å; angles 131.51, 131.51, 71.01 degrees
Sites, in units of the cell vectors:
1 Mn 0.000 0.000 0.000
2 Mn 0.750 0.250 0.500
3 Zn 0.250 0.750 0.500
4 Zn 0.500 0.500 0.000
5 N 0.082 0.625 0.957
6 N 0.375 0.332 0.457
7 N 0.668 0.125 0.043
8 N 0.875 0.918 0.543

Entry 2:
Here is crystalline MnZnN2 at its relaxed geometry from Alexandria via LeMat-Bulk. Energies are from PBEsol.

Space group   Pna2_1, No. 33
E_form (uncorrected)   -0.64 eV per formula unit
Crystal system   orthorhombic
DOS at the Fermi energy   9.434 states/eV/cell

Cell lengths 5.342, 6.155, 5.161 Å; angles 90.00, 90.00, 90.00 degrees
Sites, in units of the cell vectors:
1 Mn 0.071 0.123 0.000
2 Mn 0.429 0.623 0.500
3 Mn 0.571 0.377 0.000
4 Mn 0.929 0.877 0.500
5 Zn 0.087 0.619 0.007
6 Zn 0.413 0.119 0.507
7 Zn 0.587 0.881 0.007
8 Zn 0.913 0.381 0.507
9 N 0.063 0.109 0.346
10 N 0.109 0.645 0.395
11 N 0.391 0.145 0.895
12 N 0.437 0.609 0.846
13 N 0.563 0.391 0.346
14 N 0.609 0.855 0.395
15 N 0.891 0.355 0.895
16 N 0.937 0.891 0.846

Entry 3:
Here is crystalline MnZnN3 at its relaxed geometry from Alexandria via LeMat-Bulk. Energies are from PBEsol.

Space group   Pm-3m, No. 221
E_form (uncorrected)   8.74 eV per formula unit
Crystal system   cubic
DOS at the Fermi energy   2.201 states/eV/cell

Cell lengths 3.800, 3.800, 3.800 Å; angles 90.00, 90.00, 90.00 degrees
Sites, in units of the cell vectors:
1 Mn 0.000 0.000 0.000
2 Zn 0.500 0.500 0.500
3 N 0.000 0.500 0.500
4 N 0.500 0.000 0.500
5 N 0.500 0.500 0.000

Entry 4:
Here is crystalline NaMn3Ni at its relaxed geometry from Alexandria via LeMat-Bulk. Energies are from PBEsol.

Space group   Pm-3m, No. 221
Crystal system   cubic
Raw total energy   -5.15 eV per atom
DOS at the Fermi energy   8.368 states/eV/cell

Cell lengths 4.477, 4.477, 4.477 Å; angles 90.00, 90.00, 90.00 degrees
Sites, in units of the cell vectors:
1 Na 0.000 0.000 0.000
2 Mn 0.000 0.000 0.500
3 Mn 0.000 0.500 0.000
4 Mn 0.500 0.000 0.000
5 Ni 0.500 0.500 0.500

Entry 5:
Here is crystalline NaMn2O4 at its relaxed geometry from Alexandria via LeMat-Bulk. Energies are from PBEsol.

Space group   Fd-3m, No. 227
E_form (uncorrected)   -11.73 eV per formula unit
Crystal system   cubic
DOS at the Fermi energy   4.207 states/eV/cell
Relative energy among the computed polymorphs   51 meV per atom

Cell lengths 5.906, 5.906, 5.906 Å; angles 60.00, 60.00, 60.00 degrees
Sites, in units of the cell vectors:
1 Na 0.125 0.125 0.125
2 Na 0.875 0.875 0.875
3 Mn 0.000 0.500 0.500
4 Mn 0.500 0.000 0.500
5 Mn 0.500 0.500 0.000
6 Mn 0.500 0.500 0.500
7 O 0.270 0.270 0.270
8 O 0.270 0.270 0.690
9 O 0.270 0.690 0.270
10 O 0.310 0.730 0.730
11 O 0.690 0.270 0.270
12 O 0.730 0.310 0.730
13 O 0.730 0.730 0.310
14 O 0.730 0.730 0.730

Entry 6:
Here is crystalline NaMn8O16 at its relaxed geometry from Alexandria via LeMat-Bulk. Energies are from PBEsol.

Space group   P2/c, No. 13
E_form (uncorrected)   -42.45 eV per formula unit
Crystal system   monoclinic
DOS at the Fermi energy   14.961 states/eV/cell

Cell lengths 9.623, 5.659, 13.645 Å; angles 90.00, 134.36, 90.00 degrees
Sites, in units of the cell vectors:
1 Na 0.000 0.125 0.250
2 Na 0.000 0.875 0.750
3 Mn 0.180 0.376 0.583
4 Mn 0.180 0.624 0.083
5 Mn 0.181 0.126 0.083
6 Mn 0.181 0.874 0.583
7 Mn 0.480 0.126 0.899
8 Mn 0.480 0.874 0.399
9 Mn 0.481 0.376 0.400
10 Mn 0.481 0.624 0.900
11 Mn 0.519 0.376 0.100
12 Mn 0.519 0.624 0.600
13 Mn 0.520 0.126 0.601
14 Mn 0.520 0.874 0.101
15 Mn 0.819 0.126 0.417
16 Mn 0.819 0.874 0.917
17 Mn 0.820 0.376 0.917
18 Mn 0.820 0.624 0.417
19 O 0.049 0.125 0.451
20 O 0.049 0.875 0.951
21 O 0.050 0.375 0.953
22 O 0.050 0.625 0.453
23 O 0.286 0.125 0.708
24 O 0.286 0.375 0.208
25 O 0.286 0.625 0.708
26 O 0.286 0.875 0.208
27 O 0.353 0.125 0.406
28 O 0.353 0.875 0.906
29 O 0.356 0.375 0.907
30 O 0.356 0.625 0.407
31 O 0.382 0.125 0.090
32 O 0.382 0.375 0.590
33 O 0.382 0.625 0.090
34 O 0.382 0.875 0.590
35 O 0.618 0.125 0.410
36 O 0.618 0.375 0.910
37 O 0.618 0.625 0.410
38 O 0.618 0.875 0.910
39 O 0.644 0.375 0.593
40 O 0.644 0.625 0.093
41 O 0.647 0.125 0.094
42 O 0.647 0.875 0.594
43 O 0.714 0.125 0.792
44 O 0.714 0.375 0.292
45 O 0.714 0.625 0.792
46 O 0.714 0.875 0.292
47 O 0.950 0.375 0.547
48 O 0.950 0.625 0.047
49 O 0.951 0.125 0.049
50 O 0.951 0.875 0.549

Entry 7:
Here is crystalline NaMn16O32 at its relaxed geometry from Alexandria via LeMat-Bulk. Energies are from PBEsol.

Space group   P4/m, No. 83
E_form (uncorrected)   -81.55 eV per formula unit
Crystal system   tetragonal
DOS at the Fermi energy   9.350 states/eV/cell

Cell lengths 9.700, 9.700, 5.670 Å; angles 90.00, 90.00, 90.00 degrees
Sites, in units of the cell vectors:
1 Na 0.000 0.000 0.000
2 Mn 0.151 0.333 0.251
3 Mn 0.151 0.333 0.749
4 Mn 0.168 0.651 0.000
5 Mn 0.169 0.652 0.500
6 Mn 0.333 0.849 0.251
7 Mn 0.333 0.849 0.749
8 Mn 0.348 0.169 0.500
9 Mn 0.349 0.168 0.000
10 Mn 0.651 0.832 0.000
11 Mn 0.652 0.831 0.500
12 Mn 0.667 0.151 0.251
13 Mn 0.667 0.151 0.749
14 Mn 0.831 0.348 0.500
15 Mn 0.832 0.349 0.000
16 Mn 0.849 0.667 0.251
17 Mn 0.849 0.667 0.749
18 O 0.042 0.667 0.250
19 O 0.042 0.667 0.750
20 O 0.153 0.200 0.000
21 O 0.154 0.202 0.500
22 O 0.164 0.458 0.000
23 O 0.164 0.458 0.500
24 O 0.200 0.847 0.000
25 O 0.202 0.846 0.500
26 O 0.298 0.656 0.250
27 O 0.298 0.656 0.750
28 O 0.333 0.042 0.250
29 O 0.333 0.042 0.750
30 O 0.344 0.298 0.250
31 O 0.344 0.298 0.750
32 O 0.458 0.836 0.000
33 O 0.458 0.836 0.500
34 O 0.542 0.164 0.000
35 O 0.542 0.164 0.500
36 O 0.656 0.702 0.250
37 O 0.656 0.702 0.750
38 O 0.667 0.958 0.250
39 O 0.667 0.958 0.750
40 O 0.702 0.344 0.250
41 O 0.702 0.344 0.750
42 O 0.798 0.154 0.500
43 O 0.800 0.153 0.000
44 O 0.836 0.542 0.000
45 O 0.836 0.542 0.500
46 O 0.846 0.798 0.500
47 O 0.847 0.800 0.000
48 O 0.958 0.333 0.250
49 O 0.958 0.333 0.750

Entry 8:
Here is crystalline NaMnO2 at its relaxed geometry from Alexandria via LeMat-Bulk. Energies are from PBEsol.

Space group   Cmcm, No. 63
E_form (uncorrected)   -6.58 eV per formula unit
Crystal system   orthorhombic
Relative energy among the computed polymorphs   14 meV per atom

Cell lengths 3.178, 3.178, 10.743 Å; angles 90.00, 90.00, 126.83 degrees
Sites, in units of the cell vectors:
1 Na 0.202 0.798 0.750
2 Na 0.798 0.202 0.250
3 Mn 0.500 0.500 0.000
4 Mn 0.500 0.500 0.500
5 O 0.119 0.881 0.102
6 O 0.119 0.881 0.398
7 O 0.881 0.119 0.602
8 O 0.881 0.119 0.898

Entry 9:
Here is crystalline Na2Mn2O3 at its relaxed geometry from Alexandria via LeMat-Bulk. Energies are from PBEsol.

Space group   P4_32_12, No. 96
E_form (uncorrected)   -8.64 eV per formula unit
Crystal system   tetragonal
DOS at the Fermi energy   8.094 states/eV/cell
Relative energy among the computed polymorphs   0 meV per atom

Cell lengths 6.326, 6.326, 9.412 Å; angles 90.00, 90.00, 90.00 degrees
Sites, in units of the cell vectors:
1 Na 0.028 0.234 0.362
2 Na 0.234 0.028 0.638
3 Na 0.266 0.528 0.112
4 Na 0.472 0.734 0.388
5 Na 0.528 0.266 0.888
6 Na 0.734 0.472 0.612
7 Na 0.766 0.972 0.138
8 Na 0.972 0.766 0.862
9 Mn 0.042 0.261 0.884
10 Mn 0.239 0.542 0.634
11 Mn 0.261 0.042 0.116
12 Mn 0.458 0.761 0.866
13 Mn 0.542 0.239 0.366
14 Mn 0.739 0.958 0.616
15 Mn 0.761 0.458 0.134
16 Mn 0.958 0.739 0.384
17 O 0.008 0.256 0.103
18 O 0.180 0.820 0.250
19 O 0.244 0.508 0.853
20 O 0.256 0.008 0.897
21 O 0.320 0.320 0.500
22 O 0.492 0.756 0.647
23 O 0.508 0.244 0.147
24 O 0.680 0.680 0.000
25 O 0.744 0.992 0.397
26 O 0.756 0.492 0.353
27 O 0.820 0.180 0.750
28 O 0.992 0.744 0.603

Entry 10:
Here is crystalline NaMn2O4 at its relaxed geometry from Alexandria via LeMat-Bulk. Energies are from PBEsol.

Space group   Cmcm, No. 63
E_form (uncorrected)   -11.50 eV per formula unit
Crystal system   orthorhombic
DOS at the Fermi energy   5.461 states/eV/cell
Relative energy among the computed polymorphs   85 meV per atom

Cell lengths 5.014, 5.014, 9.624 Å; angles 90.00, 90.00, 146.20 degrees
Sites, in units of the cell vectors:
1 Na 0.110 0.890 0.750
2 Na 0.890 0.110 0.250
3 Mn 0.364 0.636 0.572
4 Mn 0.364 0.636 0.928
5 Mn 0.636 0.364 0.072
6 Mn 0.636 0.364 0.428
7 O 0.000 0.000 0.000
8 O 0.000 0.000 0.500
9 O 0.263 0.737 0.104
10 O 0.263 0.737 0.396
11 O 0.433 0.567 0.750
12 O 0.567 0.433 0.250
13 O 0.737 0.263 0.604
14 O 0.737 0.263 0.896

Entry 11:
Here is crystalline NaMn2O4 at its relaxed geometry from Alexandria via LeMat-Bulk. Energies are from PBEsol.

Space group   Pnma, No. 62
E_form (uncorrected)   -11.99 eV per formula unit
Crystal system   orthorhombic
DOS at the Fermi energy   6.163 states/eV/cell
Relative energy among the computed polymorphs   14 meV per atom

Cell lengths 8.850, 2.845, 10.813 Å; angles 90.00, 90.00, 90.00 degrees
Sites, in units of the cell vectors:
1 Na 0.245 0.250 0.161
2 Na 0.255 0.750 0.661
3 Na 0.745 0.250 0.339
4 Na 0.755 0.750 0.839
5 Mn 0.067 0.250 0.385
6 Mn 0.081 0.250 0.902
7 Mn 0.419 0.750 0.402
8 Mn 0.433 0.750 0.885
9 Mn 0.567 0.250 0.115
10 Mn 0.581 0.250 0.598
11 Mn 0.919 0.750 0.098
12 Mn 0.933 0.750 0.615
13 O 0.025 0.750 0.794
14 O 0.069 0.250 0.580
15 O 0.116 0.750 0.021
16 O 0.210 0.750 0.348
17 O 0.290 0.250 0.848
18 O 0.384 0.250 0.521
19 O 0.431 0.750 0.080
20 O 0.475 0.250 0.294
21 O 0.525 0.750 0.706
22 O 0.569 0.250 0.920
23 O 0.616 0.750 0.479
24 O 0.710 0.750 0.152
25 O 0.790 0.250 0.652
26 O 0.884 0.250 0.979
27 O 0.931 0.750 0.420
28 O 0.975 0.250 0.206

Entry 12:
Here is crystalline NaMn3O6 at its relaxed geometry from Alexandria via LeMat-Bulk. Energies are from PBEsol.

Space group   I4_1/amd, No. 141
E_form (uncorrected)   -16.60 eV per formula unit
Crystal system   tetragonal
DOS at the Fermi energy   9.117 states/eV/cell

Cell lengths 13.056, 13.056, 13.056 Å; angles 154.13, 154.13, 36.91 degrees
Sites, in units of the cell vectors:
1 Na 0.043 0.293 0.750
2 Na 0.293 0.043 0.250
3 Na 0.707 0.957 0.750
4 Na 0.957 0.707 0.250
5 Mn 0.000 0.500 0.500
6 Mn 0.166 0.171 0.505
7 Mn 0.166 0.661 0.995
8 Mn 0.171 0.166 0.005
9 Mn 0.339 0.834 0.505
10 Mn 0.500 0.000 0.000
11 Mn 0.500 0.500 0.000
12 Mn 0.500 0.500 0.500
13 Mn 0.661 0.166 0.495
14 Mn 0.829 0.834 0.995
15 Mn 0.834 0.339 0.005
16 Mn 0.834 0.829 0.495
17 O 0.045 0.578 0.466
18 O 0.048 0.090 0.959
19 O 0.090 0.048 0.459
20 O 0.090 0.631 0.041
21 O 0.243 0.282 0.539
22 O 0.243 0.704 0.961
23 O 0.282 0.243 0.039
24 O 0.296 0.757 0.539
25 O 0.369 0.910 0.459
26 O 0.388 0.422 0.966
27 O 0.422 0.388 0.466
28 O 0.422 0.955 0.034
29 O 0.578 0.045 0.966
30 O 0.578 0.612 0.534
31 O 0.612 0.578 0.034
32 O 0.631 0.090 0.541
33 O 0.704 0.243 0.461
34 O 0.718 0.757 0.961
35 O 0.757 0.296 0.039
36 O 0.757 0.718 0.461
37 O 0.910 0.369 0.959
38 O 0.910 0.952 0.541
39 O 0.952 0.910 0.041
40 O 0.955 0.422 0.534